Density functional theory data (GGA-PBEsol) for a relaxed Na2Ti3FeP6O24 crystal.

Values from the calculation:
Crystal system   trigonal
Raw formation energy   -2.3797 eV/atom
Size of the total moment   2.00 μB per formula unit
Space group   R3

Lattice parameters (Å, degrees): 8.438 8.438 8.730 61.10 61.10 60.00
Site moments in Bohr magnetons follow the coordinates.
Fractional coordinates of all 36 atoms:
Na 0.000 0.000 0.000  0.00
Na 0.502 0.502 0.495  0.00
Ti 0.857 0.857 0.428  0.00
Ti 0.356 0.356 0.932  0.00
Ti 0.144 0.144 0.567  0.00
Fe 0.646 0.646 0.063  1.70
P 0.538 0.259 0.245  0.00
P 0.753 0.027 0.755  0.00
P 0.027 0.465 0.755  0.00
P 0.958 0.538 0.245  0.00
P 0.259 0.958 0.245  0.00
P 0.465 0.753 0.755  0.00
O 0.372 0.213 0.422  -0.01
O 0.732 0.097 0.260  0.01
O 0.072 0.272 0.741  0.00
O 0.801 0.996 0.576  0.01
O 0.273 0.139 0.077  0.00
O 0.534 0.451 0.231  0.01
O 0.566 0.204 0.770  0.01
O 0.845 0.486 0.927  0.04
O 0.996 0.627 0.576  0.01
O 0.916 0.072 0.741  0.00
O 0.486 0.742 0.927  0.04
O 0.204 0.460 0.770  0.01
O 0.784 0.534 0.231  0.01
O 0.510 0.273 0.077  0.00
O 0.097 0.911 0.260  0.01
O 0.994 0.372 0.422  -0.01
O 0.139 0.510 0.077  0.00
O 0.451 0.784 0.231  0.01
O 0.460 0.566 0.770  0.01
O 0.742 0.845 0.927  0.04
O 0.213 0.994 0.422  -0.01
O 0.911 0.732 0.260  0.01
O 0.272 0.916 0.741  0.00
O 0.627 0.801 0.576  0.01